# CdPNO2

A geometry-optimized CdPNO2 structure (PBE, Alexandria via LeMat-Bulk).

a = 4.1049 Å, b = 4.1049 Å, c = 4.2349 Å
α = 90.00°, β = 90.00°, γ = 90.00°
Atoms (fractional coordinates):
Cd (0.0000, 0.0000, 0.0000)
P (0.5000, 0.5000, 0.5000)
N (0.0000, 0.0000, 0.5000)
O (0.0000, 0.5000, 0.0000)
O (0.5000, 0.0000, 0.0000)

## Properties
Total moment in Bohr magnetons per cell: 0.7
Total DFT energy (no corrections) in eV/atom: -3.52
Raw formation energy in kcal/mol of atoms: 32.11
Space-group type: P4/mmm, No. 123